The following is a PBE calculation of an optimized crystal structure of CeHgSb2, from Alexandria via LeMat-Bulk.

Calculated values
For the uncorrected energy, the calculation gives -15.7 eV for the cell shown. As for the uncorrected formation energy: -0.299 eV/atom. The polymorph energy (0 for the lowest one) is 6.17 kcal/mol of atoms. Its space-group type is R-3m, No. 166.

Structure (CIF):
```
data_CeHgSb2
_chemical_formula_sum 'Ce1 Hg1 Sb2'
_cell_length_a 5.681
_cell_length_b 5.681
_cell_length_c 5.681
_cell_angle_alpha 53.72
_cell_angle_beta 53.72
_cell_angle_gamma 53.72
_symmetry_space_group_name_H-M 'P 1'
_symmetry_Int_Tables_number 1
loop_
_symmetry_equiv_pos_as_xyz
'x,y,z'
loop_
_atom_site_label
_atom_site_type_symbol
_atom_site_fract_x
_atom_site_fract_y
_atom_site_fract_z
_atom_site_occupancy
Ce1 Ce 0.000 0.000 0.000 1
Hg1 Hg 0.500 0.500 0.500 1
Sb1 Sb 0.233 0.233 0.233 1
Sb2 Sb 0.767 0.767 0.767 1
```

The following is a PBE calculation of an optimized crystal structure of Ce3HgSb3, from Alexandria via LeMat-Bulk.

Calculated values
For the uncorrected energy, the calculation gives -70.2 eV for the cell shown. As for the uncorrected formation energy: -0.660 eV/atom. Its space-group type is P6_3/m, No. 176.

Structure (CIF):
```
data_Ce3HgSb3
_chemical_formula_sum 'Ce6 Hg2 Sb6'
_cell_length_a 9.608
_cell_length_b 9.608
_cell_length_c 6.315
_cell_angle_alpha 90.00
_cell_angle_beta 90.00
_cell_angle_gamma 120.00
_symmetry_space_group_name_H-M 'P 1'
_symmetry_Int_Tables_number 1
loop_
_symmetry_equiv_pos_as_xyz
'x,y,z'
loop_
_atom_site_label
_atom_site_type_symbol
_atom_site_fract_x
_atom_site_fract_y
_atom_site_fract_z
_atom_site_occupancy
Ce1 Ce 0.006 0.340 0.250 1
Ce2 Ce 0.334 0.994 0.250 1
Ce3 Ce 0.340 0.334 0.750 1
Ce4 Ce 0.660 0.666 0.250 1
Ce5 Ce 0.666 0.006 0.750 1
Ce6 Ce 0.994 0.660 0.750 1
Hg1 Hg 0.333 0.667 0.250 1
Hg2 Hg 0.667 0.333 0.750 1
Sb1 Sb 0.013 0.333 0.750 1
Sb2 Sb 0.320 0.987 0.750 1
Sb3 Sb 0.333 0.320 0.250 1
Sb4 Sb 0.667 0.680 0.750 1
Sb5 Sb 0.680 0.013 0.250 1
Sb6 Sb 0.987 0.667 0.250 1
```

The following is a PBE calculation of an optimized crystal structure of CeHgSb, from Alexandria via LeMat-Bulk.

Calculated values
For the uncorrected energy, the calculation gives -11.8 eV for the cell shown. As for the uncorrected formation energy: -0.475 eV/atom. The polymorph energy (0 for the lowest one) is 4.30 kcal/mol of atoms. Its space-group type is I4mm, No. 107.

Structure (CIF):
```
data_CeHgSb
_chemical_formula_sum 'Ce1 Hg1 Sb1'
_cell_length_a 5.627
_cell_length_b 5.627
_cell_length_c 5.627
_cell_angle_alpha 135.84
_cell_angle_beta 135.84
_cell_angle_gamma 64.22
_symmetry_space_group_name_H-M 'P 1'
_symmetry_Int_Tables_number 1
loop_
_symmetry_equiv_pos_as_xyz
'x,y,z'
loop_
_atom_site_label
_atom_site_type_symbol
_atom_site_fract_x
_atom_site_fract_y
_atom_site_fract_z
_atom_site_occupancy
Ce1 Ce 0.000 0.000 0.000 1
Hg1 Hg 0.674 0.674 0.000 1
Sb1 Sb 0.349 0.349 0.000 1
```

Among the records above, which one has the highest uncorrected energy?
CeHgSb